# 1
InS2N2: single point on PBEsol structure, SCAN.

Output
- Formation energy from raw total energies: 1.23 eV per atom
- VASP energy: -13.02 eV per atom

Lattice parameters (Å, degrees): 3.775 3.775 5.942 108.52 108.52 90.00
Atoms (fractional coordinates):
In 0.000 0.000 0.000
S 0.693 0.693 0.386
S 0.307 0.307 0.614
N 0.750 0.250 0.500
N 0.250 0.750 0.500

---

# 2
TaInS2N: single point on PBEsol structure, SCAN.

Output
- Formation energy from raw total energies: 1.19 eV per atom
- VASP energy: -24.52 eV per atom

Lattice parameters (Å, degrees): 3.922 4.903 4.903 90.00 90.00 90.00
Last column: magnetic moment on the atom in μB.
Atoms (fractional coordinates):
Ta 0.500 0.500 0.500  -1.80
In 0.000 0.000 0.000  -0.03
S 0.000 0.000 0.500  0.17
N 0.500 0.000 0.000  0.91
S 0.000 0.500 0.000  0.17

---

# 3
InTcS2N: single point on PBEsol structure, SCAN.

Output
- Formation energy from raw total energies: 1.16 eV per atom
- VASP energy: -18.24 eV per atom

Lattice parameters (Å, degrees): 4.014 5.031 5.031 90.00 90.00 90.00
Last column: magnetic moment on the atom in μB.
Atoms (fractional coordinates):
S 0.000 0.000 0.500  0.21
N 0.500 0.000 0.000  1.17
S 0.000 0.500 0.000  0.21
Tc 0.500 0.500 0.500  4.29
In 0.000 0.000 0.000  -0.03

---

# 4
InTeSN2: single point on PBEsol structure, SCAN.

Output
- Formation energy from raw total energies: 1.58 eV per atom
- VASP energy: -18.19 eV per atom

Lattice parameters (Å, degrees): 3.912 3.912 5.240 90.00 90.00 90.00
Last column: magnetic moment on the atom in μB.
Atoms (fractional coordinates):
N 0.000 0.500 0.000  0.73
S 0.000 0.000 0.000  0.00
Te 0.000 0.000 0.500  0.06
In 0.500 0.500 0.500  -0.04
N 0.500 0.000 0.000  0.73

---

# 5
InTe2SN: single point on PBEsol structure, SCAN.

Output
- Formation energy from raw total energies: 1.16 eV per atom
- VASP energy: -24.20 eV per atom

Lattice parameters (Å, degrees): 3.926 5.688 5.688 90.00 90.00 90.00
Last column: magnetic moment on the atom in μB.
Atoms (fractional coordinates):
Te 0.000 0.000 0.500  0.32
In 0.000 0.000 0.000  -0.07
N 0.500 0.000 0.000  0.92
S 0.500 0.500 0.500  -0.12
Te 0.000 0.500 0.000  0.32

---

# 6
InSbSe2N: single point on PBEsol structure, SCAN.

Output
- Formation energy from raw total energies: 0.68 eV per atom
- VASP energy: -23.34 eV per atom

Lattice parameters (Å, degrees): 4.032 5.311 5.311 90.00 90.00 90.00
Last column: magnetic moment on the atom in μB.
Atoms (fractional coordinates):
In 0.000 0.000 0.000  -0.05
Se 0.000 0.500 0.000  0.08
Se 0.000 0.000 0.500  0.08
N 0.500 0.000 0.000  1.04
Sb 0.500 0.500 0.500  0.00

---

# 7
InSbTe2N: single point on PBEsol structure, SCAN.

Output
- Formation energy from raw total energies: 1.48 eV per atom
- VASP energy: -29.41 eV per atom

Lattice parameters (Å, degrees): 5.562 5.646 5.646 90.00 90.00 90.00
Last column: magnetic moment on the atom in μB.
Atoms (fractional coordinates):
Te 0.000 0.500 0.000  0.01
N 0.500 0.500 0.500  1.89
Te 0.000 0.000 0.500  0.01
In 0.000 0.000 0.000  0.00
Sb 0.500 0.000 0.000  -0.04

---

# 8
ScInN3: single point on PBEsol structure, SCAN.

Output
- Formation energy from raw total energies: 0.77 eV per atom
- VASP energy: -14.33 eV per atom

Lattice parameters (Å, degrees): 4.117 4.117 4.117 90.00 90.00 90.00
Last column: magnetic moment on the atom in μB.
Atoms (fractional coordinates):
N 0.000 0.000 0.500  0.89
Sc 0.000 0.000 0.000  -0.06
In 0.500 0.500 0.500  -0.15
N 0.500 0.000 0.000  0.89
N 0.000 0.500 0.000  0.89

---

# 9
InSe3N: single point on PBEsol structure, SCAN.

Output
- Formation energy from raw total energies: 0.70 eV per atom
- VASP energy: -19.88 eV per atom

Lattice parameters (Å, degrees): 4.458 4.458 4.458 90.00 90.00 90.00
Atoms (fractional coordinates):
Se 0.000 0.500 0.000
Se 0.000 0.000 0.500
Se 0.500 0.000 0.000
In 0.500 0.500 0.500
N 0.000 0.000 0.000

---

# 10
InSiN2: single point on PBEsol structure, SCAN.

Output
- Formation energy from raw total energies: 0.15 eV per atom
- Distance to the lowest polymorph of the same formula: 0.575 eV per atom
- VASP energy: -15.35 eV per atom

Lattice parameters (Å, degrees): 3.388 3.388 5.916 73.36 73.36 60.00
Atoms (fractional coordinates):
In 0.500 0.500 0.500
N 0.099 0.099 0.702
Si 0.000 0.000 0.000
N 0.901 0.901 0.298

---

# 11
InSiN2: single point on PBEsol structure, SCAN.

Output
- Formation energy from raw total energies: -0.43 eV per atom
- Distance to the lowest polymorph of the same formula: 0.000 eV per atom
- VASP energy: -15.92 eV per atom

Lattice parameters (Å, degrees): 4.891 5.438 4.891 116.73 90.00 116.73
Atoms (fractional coordinates):
Si 0.750 0.500 0.250
In 0.000 0.000 0.000
N 0.125 0.750 0.517
N 0.625 0.750 0.233
In 0.250 0.500 0.750
Si 0.500 0.000 0.500
N 0.483 0.250 0.375
N 0.767 0.250 0.875

---

# 12
Sm3InN: single point on PBEsol structure, SCAN.

Output
- Formation energy from raw total energies: -1.12 eV per atom
- VASP energy: -36.33 eV per atom

Lattice parameters (Å, degrees): 4.887 4.887 4.887 90.00 90.00 90.00
Atoms (fractional coordinates):
In 0.000 0.000 0.000
Sm 0.500 0.000 0.500
Sm 0.500 0.500 0.000
N 0.500 0.500 0.500
Sm 0.000 0.500 0.500